Computed, not measured: crystalline Ac4Eu2Rh at its relaxed geometry at the GGA-PBE level of DFT.

The calculation puts the formation energy from the elements at -0.14 eV per formula unit. The final energy comes out at -88.94 eV/cell.

The space group is I4/mmm (No. 139) and the conventional cell measures 5.797, 5.797 and 19.326 Å, with angles of 90.00, 90.00 and 90.00 degrees. Symmetry generates all atoms from Ac at (0.000, 0.000, 0.154), Ac at (0.000, 0.500, 0.000), Eu at (0.000, 0.000, 0.350) and Rh at (0.000, 0.000, 0.000).